Entry 1:
A plane-wave DFT calculation with PBE was carried out for a geometry-optimized Li2Pm2Ag3 structure.

## Properties
final energy = -3.290 eV per atom
ΔE_f = -0.1642 eV per atom
theoretical density = 6865 kg/m3
total magnetic moment = 0.0 μB per formula unit

abc: 11.9853 11.9853 3.3042
angles: 90.00 90.00 161.35
Closest atoms and distances in Å follow each position.
Fractional positions:
Li 0.2165 0.7835 0.0000  2 Li 2.51, 4 Ag 2.78
Li 0.7835 0.2165 0.0000  2 Li 2.51, 4 Ag 2.78
Pm 0.0826 0.9174 0.0000  1 Li 3.17, 8 Ag 3.21-3.27, 2 Pm 3.30
Pm 0.9174 0.0826 0.0000  1 Li 3.17, 8 Ag 3.21-3.27, 2 Pm 3.30
Ag 0.3306 0.6694 0.5000  4 Li 2.78
Ag 0.5000 0.5000 0.5000  8 Pm 3.21, 2 Ag 3.30
Ag 0.6694 0.3306 0.5000  4 Li 2.78



Entry 2:
A plane-wave DFT calculation with PBE was carried out for a geometry-optimized CeZn2Sb structure.

## Properties
final energy = -3.572 eV per atom
formation energy without anion corrections = -0.421 eV/atom
theoretical density = 7286 kg/m3
total magnetic moment = 0.5 μB per formula unit

abc: 4.4008 4.4008 4.6212
angles: 90.00 90.00 90.00
Closest atoms and distances in Å follow each position.
Fractional positions:
Ce 0.0000 0.0000 0.0000  4 Sb 3.11, 8 Zn 3.19
Zn 0.0000 0.5000 0.5000  4 Zn 3.11, 4 Ce 3.19, 4 Sb 3.19
Zn 0.5000 0.0000 0.5000  4 Zn 3.11, 4 Ce 3.19, 4 Sb 3.19
Sb 0.5000 0.5000 0.0000  4 Ce 3.11, 8 Zn 3.19



Entry 3:
A plane-wave DFT calculation with PBE was carried out for a geometry-optimized Y5Er2Tm6 structure.

## Properties
final energy = -5.148 eV per atom
ΔE_f = 0.1043 eV per atom
theoretical density = 7254 kg/m3
total magnetic moment = 0.0 μB per formula unit

abc: 11.5045 20.0999 3.5493
angles: 90.00 90.00 90.00
Closest atoms and distances in Å follow each position.
Fractional positions:
Y 0.0000 0.0000 0.0000  6 Tm 3.32-3.39, 4 Y 3.55-3.63
Y 0.0881 0.2731 0.0000  5 Tm 3.30-3.44, 4 Er 3.46-3.56, 2 Y 3.55
Y 0.1976 0.5510 0.0000  6 Tm 3.49-3.55, 3 Y 3.55-3.63, 2 Er 3.67
Y 0.3024 0.0510 0.0000  6 Tm 3.49-3.55, 3 Y 3.55-3.63, 2 Er 3.67
Y 0.4119 0.7731 0.0000  5 Tm 3.30-3.44, 4 Er 3.46-3.56, 2 Y 3.55
Y 0.5000 0.5000 0.0000  6 Tm 3.32-3.39, 4 Y 3.55-3.63
Y 0.5881 0.2269 0.0000  5 Tm 3.30-3.44, 4 Er 3.46-3.56, 2 Y 3.55
Y 0.6976 0.9490 0.0000  6 Tm 3.49-3.55, 3 Y 3.55-3.63, 2 Er 3.67
Y 0.8024 0.4490 0.0000  6 Tm 3.49-3.55, 3 Y 3.55-3.63, 2 Er 3.67
Y 0.9119 0.7269 0.0000  5 Tm 3.30-3.44, 4 Er 3.46-3.56, 2 Y 3.55
Er 0.1679 0.7096 0.5000  3 Tm 3.27-3.55, 4 Y 3.46-3.56, 2 Er 3.55
Er 0.3321 0.2096 0.5000  3 Tm 3.27-3.55, 4 Y 3.46-3.56, 2 Er 3.55
Er 0.6679 0.7904 0.5000  3 Tm 3.27-3.55, 4 Y 3.46-3.56, 2 Er 3.55
Er 0.8321 0.2904 0.5000  3 Tm 3.27-3.55, 4 Y 3.46-3.56, 2 Er 3.55
Tm 0.0612 0.4191 0.5000  6 Y 3.44-3.55, 5 Tm 3.54-3.72, 1 Er 3.69
Tm 0.0826 0.1316 0.5000  1 Er 3.27, 6 Y 3.32-3.49, 4 Tm 3.42-3.55
Tm 0.1718 0.8628 0.0000  2 Y 3.30-3.39, 4 Tm 3.42-3.55, 2 Er 3.55
Tm 0.3282 0.3628 0.0000  2 Y 3.30-3.39, 4 Tm 3.42-3.55, 2 Er 3.55
Tm 0.4174 0.6316 0.5000  1 Er 3.27, 6 Y 3.32-3.49, 4 Tm 3.42-3.55
Tm 0.4388 0.9191 0.5000  6 Y 3.44-3.55, 5 Tm 3.54-3.72, 1 Er 3.69
Tm 0.5612 0.0809 0.5000  6 Y 3.44-3.55, 5 Tm 3.54-3.72, 1 Er 3.69
Tm 0.5826 0.3684 0.5000  1 Er 3.27, 6 Y 3.32-3.49, 4 Tm 3.42-3.55
Tm 0.6718 0.6372 0.0000  2 Y 3.30-3.39, 4 Tm 3.42-3.55, 2 Er 3.55
Tm 0.8282 0.1372 0.0000  2 Y 3.30-3.39, 4 Tm 3.42-3.55, 2 Er 3.55
Tm 0.9174 0.8684 0.5000  1 Er 3.27, 6 Y 3.32-3.49, 4 Tm 3.42-3.55
Tm 0.9388 0.5809 0.5000  6 Y 3.44-3.55, 5 Tm 3.54-3.72, 1 Er 3.69